[1]
Computed, not measured: a relaxed Ac2Al2Pd3 crystal at the PBE level of DFT.

The structure in POSCAR format:
```
Ac2Al2Pd3
1.0
5.931 -1.996 0.000
5.931 1.996 0.000
-3.367 0.000 6.758
Ac Al Pd
2 2 3
direct
0.130 0.130 0.255
0.870 0.870 0.745
0.140 0.140 0.715
0.860 0.860 0.285
0.352 0.352 0.070
0.500 0.500 0.500
0.648 0.648 0.930
```

Output
- Total moment: 0.0 μB per formula unit
- Calculated density: 8.58 g/cm³
- Formation enthalpy at 0 K: -0.732 eV per atom
- E: -5.201 eV per atom


[2]
Computed, not measured: a relaxed Ac2AlPd5 crystal at the PBE level of DFT.

The structure in POSCAR format:
```
Ac2AlPd5
1.0
-3.181 3.181 4.431
3.181 -3.181 4.431
3.181 3.181 -4.431
Ac Al Pd
2 1 5
direct
0.000 0.500 0.500
0.500 0.000 0.500
0.242 0.242 0.000
0.528 0.528 0.000
0.529 0.529 0.552
0.529 0.977 0.000
0.977 0.529 0.000
0.977 0.977 0.448
```

Output
- Total moment: 0.0 μB per formula unit
- Calculated density: 9.38 g/cm³
- Formation enthalpy at 0 K: -0.774 eV per atom
- E: -5.515 eV per atom


[3]
Computed, not measured: a relaxed AcPmAlPd crystal at the PBE level of DFT.

The structure in POSCAR format:
```
AcPmAlPd
1.0
0.000 3.791 3.791
3.791 0.000 3.791
3.791 3.791 0.000
Ac Pm Al Pd
1 1 1 1
direct
0.000 0.000 0.000
0.500 0.500 0.500
0.250 0.250 0.250
0.750 0.750 0.750
```

Output
- Total moment: 0.0 μB per formula unit
- Calculated density: 7.70 g/cm³
- Formation enthalpy at 0 K: -0.414 eV per atom
- E: -4.863 eV per atom


[4]
Computed, not measured: a relaxed Ac2PmAl2Pd7 crystal at the PBE level of DFT.

The structure in POSCAR format:
```
Ac2PmAl2Pd7
1.0
3.034 -3.003 0.000
3.034 3.003 0.000
-1.863 0.000 14.007
Ac Pm Al Pd
2 1 2 7
direct
0.100 0.100 0.358
0.900 0.900 0.642
0.000 0.000 0.000
0.428 0.428 0.759
0.572 0.572 0.241
0.045 0.546 0.150
0.388 0.388 0.579
0.454 0.955 0.850
0.500 0.500 0.000
0.546 0.045 0.150
0.612 0.612 0.421
0.955 0.454 0.850
```

Output
- Total moment: 0.0 μB per formula unit
- Calculated density: 9.10 g/cm³
- Formation enthalpy at 0 K: -0.824 eV per atom
- E: -5.558 eV per atom


[5]
Computed, not measured: a relaxed AcPrAlPd crystal at the PBE level of DFT.

The structure in POSCAR format:
```
AcPrAlPd
1.0
0.000 3.817 3.817
3.817 0.000 3.817
3.817 3.817 0.000
Ac Pr Al Pd
1 1 1 1
direct
0.000 0.000 0.000
0.500 0.500 0.500
0.750 0.750 0.750
0.250 0.250 0.250
```

Output
- Total moment: 0.0 μB per formula unit
- Calculated density: 7.49 g/cm³
- Formation enthalpy at 0 K: -0.403 eV per atom
- E: -4.858 eV per atom


[6]
Computed, not measured: a relaxed Ac2PrAl4Pd3 crystal at the PBE level of DFT.

The structure in POSCAR format:
```
Ac2PrAl4Pd3
1.0
4.483 0.000 0.000
0.000 4.483 0.000
0.000 0.000 11.663
Ac Pr Al Pd
2 1 4 3
direct
0.000 0.500 0.229
0.500 0.000 0.771
0.000 0.000 0.500
0.000 0.000 0.000
0.000 0.500 0.675
0.500 0.000 0.325
0.500 0.500 0.000
0.000 0.500 0.889
0.500 0.000 0.111
0.500 0.500 0.500
```

Output
- Total moment: 0.0 μB per formula unit
- Calculated density: 7.24 g/cm³
- Formation enthalpy at 0 K: -0.617 eV per atom
- E: -4.971 eV per atom


[7]
Computed, not measured: a relaxed AcPrAl2Pd5 crystal at the PBE level of DFT.

The structure in POSCAR format:
```
AcPrAl2Pd5
1.0
4.437 0.000 0.000
0.000 4.437 0.000
0.000 0.000 9.219
Ac Pr Al Pd
1 1 2 5
direct
0.000 0.000 0.000
0.000 0.000 0.500
0.500 0.500 0.353
0.500 0.500 0.647
0.000 0.500 0.232
0.000 0.500 0.768
0.500 0.000 0.232
0.500 0.000 0.768
0.500 0.500 0.000
```

Output
- Total moment: 0.0 μB per formula unit
- Calculated density: 8.73 g/cm³
- Formation enthalpy at 0 K: -0.782 eV per atom
- E: -5.486 eV per atom


[8]
Computed, not measured: a relaxed AcAl4Pd2Pt crystal at the PBE level of DFT.

The structure in POSCAR format:
```
AcAl4Pd2Pt
1.0
2.160 1.247 9.510
-2.160 1.247 9.510
0.000 -2.494 9.510
Ac Al Pd Pt
1 4 2 1
direct
0.000 0.000 0.000
0.135 0.135 0.135
0.409 0.409 0.409
0.591 0.591 0.591
0.865 0.865 0.865
0.232 0.232 0.232
0.768 0.768 0.768
0.500 0.500 0.500
```

Output
- Total moment: 0.0 μB per formula unit
- Calculated density: 8.03 g/cm³
- Formation enthalpy at 0 K: -0.793 eV per atom
- E: -5.232 eV per atom


[9]
Computed, not measured: a relaxed Ac2Al4PdPt3 crystal at the PBE level of DFT.

The structure in POSCAR format:
```
Ac2Al4PdPt3
1.0
4.445 0.000 0.000
0.000 4.445 0.000
0.000 0.000 10.436
Ac Al Pd Pt
2 4 1 3
direct
0.000 0.500 0.249
0.500 0.000 0.751
0.000 0.000 0.000
0.000 0.500 0.621
0.500 0.000 0.379
0.500 0.500 0.000
0.000 0.000 0.500
0.000 0.500 0.870
0.500 0.000 0.130
0.500 0.500 0.500
```

Output
- Total moment: 0.0 μB per formula unit
- Calculated density: 10.10 g/cm³
- Formation enthalpy at 0 K: -1.044 eV per atom
- E: -5.694 eV per atom


[10]
Computed, not measured: a relaxed Ac2AlPdPt6 crystal at the PBE level of DFT.

The structure in POSCAR format:
```
Ac2AlPdPt6
1.0
6.110 -2.734 0.000
6.110 2.734 0.000
-5.972 0.000 6.456
Ac Al Pd Pt
2 1 1 6
direct
0.237 0.237 0.196
0.763 0.763 0.804
0.000 0.000 0.500
0.500 0.500 0.000
0.248 0.248 0.592
0.250 0.747 0.737
0.253 0.750 0.263
0.747 0.250 0.737
0.750 0.253 0.263
0.752 0.752 0.408
```

Output
- Total moment: 0.0 μB per formula unit
- Calculated density: 13.53 g/cm³
- Formation enthalpy at 0 K: -0.870 eV per atom
- E: -6.210 eV per atom


[11]
Computed, not measured: a relaxed AcAl2PdPt2 crystal at the PBE level of DFT.

The structure in POSCAR format:
```
AcAl2PdPt2
1.0
4.346 0.000 0.000
-2.173 3.764 0.000
0.000 0.000 7.254
Ac Al Pd Pt
1 2 1 2
direct
0.000 0.000 0.000
0.333 0.667 0.357
0.667 0.333 0.643
0.000 0.000 0.500
0.333 0.667 0.715
0.667 0.333 0.285
```

Output
- Total moment: 0.0 μB per formula unit
- Calculated density: 10.88 g/cm³
- Formation enthalpy at 0 K: -1.077 eV per atom
- E: -5.888 eV per atom